1.
Entry from Alexandria via LeMat-Bulk: a relaxed CoReMo2H crystal (GGA-PBE).

Computed properties:
- crystal system = tetragonal

a b c (Å): 3.919 3.919 3.883
angles (deg): 90.00 90.00 90.00
Fractional positions:
Co  0.000  0.000  0.000
Re  0.500  0.500  0.000
Mo  0.000  0.500  0.500
Mo  0.500  0.000  0.500
H  0.500  0.500  0.500

=====

2.
Entry from Alexandria via LeMat-Bulk: a relaxed LaZn2Mo crystal (GGA-PBE).

Computed properties:
- formation energy (kJ per mole of atoms) = 22.8
- crystal system = monoclinic

a b c (Å): 5.087 5.087 5.674
angles (deg): 98.98 98.98 33.90
Fractional positions:
La  0.000  0.000  0.000
Zn  0.235  0.235  0.679
Zn  0.765  0.765  0.321
Mo  0.500  0.500  0.500

=====

| no. | E (eV/f.u.) | excess energy over the best structure of this formula in the dataset (meV per atom) |
| --- | --- | --- |
| 1 | -43.83 | 98 |
| 2 | -17.36 | 135 |